Arrangement a

A plane-wave DFT calculation with PBE-GGA was carried out for an optimized crystal structure of Pd2RuCl.

Cell and atoms, written as extended XYZ:
```
8
Lattice="7.161 0.000 0.000 0.000 7.161 0.000 3.580 3.580 2.664" Properties=species:S:1:pos:R:3 pbc="T T T"
Pd 5.371 5.411 1.998
Pd 8.951 8.911 1.998
Pd 1.831 5.371 0.666
Pd 5.330 1.790 0.666
Cl 3.580 3.580 0.000
Cl 3.580 7.161 1.332
Ru 7.161 3.580 1.332
Ru 0.000 0.000 0.000
```

Calculated values
**Fermi-level density of states**: 0.509 states/eV per atom

=====

Arrangement b

A plane-wave DFT calculation with PBE-GGA was carried out for an optimized crystal structure of Pd2RuCl.

Cell and atoms, written as extended XYZ:
```
4
Lattice="0.000 3.212 3.212 3.212 0.000 3.212 3.212 3.212 0.000" Properties=species:S:1:pos:R:3 pbc="T T T"
Pd 1.606 1.606 1.606
Pd 4.817 4.817 4.817
Cl 0.000 0.000 0.000
Ru 3.212 3.212 3.212
```

Calculated values
**Fermi-level density of states**: 1.259 states/eV per atom

=====

Relative energies, in meV per atom, with the most stable structure set to zero: arrangement a 0; arrangement b 78.

=====

Arrangement a

A plane-wave DFT calculation with PBE-GGA was carried out for an optimized crystal structure of PdRuS2Cl.

Cell and atoms, written as extended XYZ:
```
5
Lattice="4.513 0.000 0.000 0.000 4.513 0.000 0.000 0.000 4.997" Properties=species:S:1:pos:R:3 pbc="T T T"
Ru 0.000 0.000 0.000
Cl 0.000 0.000 2.499
Pd 2.256 2.256 2.499
S 0.000 2.256 0.000
S 2.256 0.000 0.000
```

Calculated values
**Fermi-level density of states**: 1.478 states/eV per atom

=====

Arrangement b

A plane-wave DFT calculation with PBE-GGA was carried out for an optimized crystal structure of PdRuS2Cl.

Cell and atoms, written as extended XYZ:
```
5
Lattice="4.705 0.000 0.000 0.000 4.705 0.000 0.000 0.000 4.756" Properties=species:S:1:pos:R:3 pbc="T T T"
Cl 0.000 0.000 2.378
S 0.000 2.352 0.000
S 2.352 0.000 0.000
Pd 0.000 0.000 0.000
Ru 2.352 2.352 2.378
```

Calculated values
**Fermi-level density of states**: 0.975 states/eV per atom

=====

Relative energies, in meV per atom, with the most stable structure set to zero: arrangement a 0; arrangement b 422.

=====

Arrangement a

A plane-wave DFT calculation with PBE-GGA was carried out for an optimized crystal structure of ScPdSCl2.

Cell and atoms, written as extended XYZ:
```
5
Lattice="4.725 0.000 0.000 0.000 4.725 0.000 0.000 0.000 4.930" Properties=species:S:1:pos:R:3 pbc="T T T"
Sc 2.362 2.362 2.465
S 0.000 0.000 2.465
Cl 2.362 0.000 0.000
Cl 0.000 2.362 0.000
Pd 0.000 0.000 0.000
```

Calculated values
**Fermi-level density of states**: 1.141 states/eV per atom

=====

Arrangement b

A plane-wave DFT calculation with PBE-GGA was carried out for an optimized crystal structure of ScPdSCl2.

Cell and atoms, written as extended XYZ:
```
5
Lattice="4.889 0.000 0.000 0.000 4.889 0.000 0.000 0.000 5.052" Properties=species:S:1:pos:R:3 pbc="T T T"
Cl 2.445 0.000 0.000
Cl 0.000 2.445 0.000
Pd 2.445 2.445 2.526
S 0.000 0.000 2.526
Sc 0.000 0.000 0.000
```

Calculated values
**Fermi-level density of states**: 0.649 states/eV per atom

=====

Relative energies, in meV per atom, with the most stable structure set to zero: arrangement a 361; arrangement b 0.

=====

Arrangement a

A plane-wave DFT calculation with PBE-GGA was carried out for an optimized crystal structure of ScPdS2Cl.

Cell and atoms, written as extended XYZ:
```
5
Lattice="-1.955 1.846 -3.911 2.125 -3.328 -2.633 -3.680 -2.770 0.532" Properties=species:S:1:pos:R:3 pbc="T T T"
S -0.977 0.923 -1.955
S 1.062 -1.664 -1.317
Cl -1.840 -1.385 0.266
Sc -1.755 -2.126 -3.006
Pd 0.000 0.000 0.000
```

Calculated values
**Fermi-level density of states**: 0.609 states/eV per atom

=====

Arrangement b

A plane-wave DFT calculation with PBE-GGA was carried out for an optimized crystal structure of ScPdS2Cl.

Cell and atoms, written as extended XYZ:
```
5
Lattice="4.952 0.000 0.000 0.000 4.952 0.000 0.000 0.000 4.832" Properties=species:S:1:pos:R:3 pbc="T T T"
Cl 0.000 0.000 2.416
Sc 0.000 0.000 0.000
S 2.476 0.000 0.000
S 0.000 2.476 0.000
Pd 2.476 2.476 2.416
```

Calculated values
**Fermi-level density of states**: 1.219 states/eV per atom

=====

Relative energies, in meV per atom, with the most stable structure set to zero: arrangement a 62; arrangement b 0.